Below is an optimized crystal structure of Ca3HgBr, with properties calculated at the PBE level.

Unit cell a=5.8866 b=5.8866 c=5.8866 alpha=90.00 beta=90.00 gamma=90.00
Closest atoms and distances in Å follow each position.
Fractional positions:
Ca1 0.0000 0.0000 0.5000  2 Hg 2.94
Ca2 0.0000 0.5000 0.0000  2 Hg 2.94
Ca3 0.5000 0.0000 0.0000  2 Hg 2.94
Hg1 0.0000 0.0000 0.0000  6 Ca 2.94
Br1 0.5000 0.5000 0.5000  12 Ca 4.16

Output
Energy above the most stable polymorph in this dataset in kJ/mol of atoms: 0.0
E_form (uncorrected) in eV/atom: -0.4414
Density of states at the Fermi level in states/eV/atom: 0.91
Theoretical density in g cm⁻³: 3.3